# PBE YNiSbPt, optimized geometry
# **Magnetic moment**: 0.02 μB/cell
# **Crystal system**: cubic
# **E_tot**: -6.173 eV per atom
data_YNiSbPt
_chemical_formula_sum 'Y4 Ni4 Sb4 Pt4'
_symmetry_space_group_name_H-M 'F -4 3 m'
_symmetry_Int_Tables_number 216
_symmetry_space_group_name_Hall 'F -4 2 3'
_cell_length_a 6.721
_cell_length_b 6.721
_cell_length_c 6.721
_cell_angle_alpha 90.00
_cell_angle_beta 90.00
_cell_angle_gamma 90.00
loop_
_atom_site_label
_atom_site_fract_x
_atom_site_fract_y
_atom_site_fract_z
Y1 0.000 0.000 0.000
Ni1 0.250 0.250 0.750
Sb1 0.000 0.000 0.500
Pt1 0.250 0.250 0.250